# 1
PrGdAu: relaxed, PBE.

abc: 6.753 6.753 6.753
angles: 148.15 148.15 45.67
Element x y z (fractional)
1 Pr 0.000 0.000 0.000
2 Gd 0.710 0.710 0.000
3 Au 0.342 0.342 0.000

## Properties
**Energy above the most stable polymorph in this dataset**: 0.00 eV per formula unit
**SG**: I4mm (107)
**Energy of formation**: -49.4 kJ/mol of atoms

---

# 2
NbTeP: relaxed, PBE.

abc: 3.579 3.579 6.085
angles: 90.00 90.00 120.00
Element x y z (fractional)
1 Nb 0.000 0.000 0.000
2 Te 0.333 0.667 0.323
3 P 0.667 0.333 0.774

## Properties
**E_form (uncorrected)**: -34.2 kJ/mol of atoms
**SG**: P3m1 (156)